## MgAlPt (GGA-PBE)

Data for MgAlPt after structural relaxation.

Summary:
- calculated formation energy (meV/atom) = -879

Cell lengths 4.048, 7.835, 6.485 Å; angles 90.00, 90.00, 90.00 degrees
Sites, in units of the cell vectors:
Mg 0.250 0.832 0.466
Mg 0.750 0.332 0.034
Mg 0.750 0.168 0.534
Mg 0.250 0.668 0.966
Pt 0.750 0.635 0.270
Pt 0.750 0.865 0.770
Pt 0.250 0.135 0.230
Pt 0.250 0.365 0.730
Al 0.250 0.053 0.852
Al 0.750 0.553 0.648
Al 0.250 0.447 0.352
Al 0.750 0.947 0.148